## P
A plane-wave DFT calculation with GGA-PBE was carried out for CuTeBr4 after structural relaxation.

```
CuTeBr4
1.0
0.0000 4.3796 4.3796
4.3796 0.0000 4.3796
4.3796 4.3796 0.0000
Br Cu Te
4 1 1
Cartesian
3.2880 3.2880 3.2880
3.2880 5.4712 5.4712
5.4712 3.2880 5.4712
5.4712 5.4712 3.2880
6.5694 6.5694 6.5694
0.0000 0.0000 0.0000
```

Summary:
Volume: 168.0 Å³/f.u.

***

## Q
A plane-wave DFT calculation with GGA-PBE was carried out for CuTeBr4 after structural relaxation.

```
CuTeBr4
1.0
8.3763 -0.8681 0.0000
-4.1767 7.3125 0.0000
-2.0998 -3.2222 7.4917
Br Te Cu
8 2 2
Cartesian
-1.1153 2.8210 2.4746
5.3430 -0.9597 2.4913
-3.2453 4.2091 5.0170
5.3293 -3.2461 6.2372
1.1548 -0.5257 1.2545
3.2409 0.4101 5.0003
-1.1570 0.5529 6.2205
3.0728 2.3870 1.2712
-1.0558 5.2406 3.7458
3.1324 4.8066 0.0000
1.0436 1.6014 0.0000
5.2318 1.1673 3.7458
```

Summary:
Volume: 215.9 Å³/f.u.

***

The least stable of them is P.

***

## P
A plane-wave DFT calculation with GGA-PBE was carried out for Cu2TeBr6 after structural relaxation.

```
Cu2TeBr6
1.0
-2.3073 2.4944 -2.4387
-4.3713 -2.2862 5.3838
4.0303 8.5035 4.8846
Br Te Cu
6 1 2
Cartesian
1.5700 5.9034 4.5528
-4.2183 2.8083 3.2769
-0.7848 4.3744 1.6303
-1.4130 8.0823 6.0172
-1.8635 4.3373 6.1994
-1.2353 0.6294 1.8125
2.0151 4.2517 2.4423
-0.0840 6.1480 6.3678
-2.5643 2.5637 1.4618
```

Summary:
Volume: 307.0 Å³/f.u.

***

## Q
A plane-wave DFT calculation with GGA-PBE was carried out for Cu2TeBr6 after structural relaxation.

```
Cu2TeBr6
1.0
-3.5209 0.5413 6.7753
-8.7964 -4.0509 -1.9802
1.7224 -8.9286 3.8757
Cu Br Te
4 12 2
Cartesian
-2.6349 -3.4153 2.5859
-5.6901 -9.5298 2.9809
-4.9048 -2.9084 5.6900
-7.9600 -9.0228 6.0849
-4.6323 -8.3096 1.2808
-5.9695 -11.8337 3.1809
-2.6129 -9.0400 4.9978
-4.6254 -0.6045 5.4899
-6.3062 -8.0791 4.7167
-9.4202 -10.7793 5.6276
-4.2887 -4.3591 3.9542
-10.0934 -6.1169 5.2011
-5.9626 -4.1286 7.3901
-7.9820 -3.3982 3.6730
-1.1747 -1.6589 3.0432
-0.5016 -6.3213 3.4698
-0.1811 -8.3187 4.9999
-10.4138 -4.1194 3.6709
```

Summary:
Volume: 356.8 Å³/f.u.

***

The least stable of them is P.

***

## P
A plane-wave DFT calculation with GGA-PBE was carried out for Cu2TeBr8 after structural relaxation.

```
Cu2TeBr8
1.0
-4.0002 0.3855 -5.2736
-4.6742 -6.4769 0.9046
-5.9937 4.6166 2.7163
Cu Br Te
2 8 1
Cartesian
-11.2050 -1.2265 -0.6506
-3.4632 -0.2483 -1.0020
-7.6125 2.6708 1.7044
-9.5986 -1.3172 1.0747
-6.7315 -4.7360 0.4948
-5.2127 -0.7088 0.5440
-7.9366 3.2613 -2.1474
-9.4554 -0.7659 -2.1966
-7.0557 -4.1456 -3.3570
-5.0695 -0.1576 -2.7272
0.0000 0.0000 0.0000
```

Summary:
Volume: 408.4 Å³/f.u.

***

## Q
A plane-wave DFT calculation with GGA-PBE was carried out for Cu2TeBr8 after structural relaxation.

```
Cu2TeBr8
1.0
6.6985 -0.1792 -0.1756
-0.2967 7.1955 4.1763
-0.3780 0.0987 8.3158
Br Cu Te
8 2 1
Cartesian
4.6741 0.9837 6.2386
0.8087 6.1245 10.5158
1.3497 6.1313 6.0778
2.6764 2.3095 4.0121
3.3474 4.8055 8.3043
5.2151 0.9905 1.8006
4.7186 4.8657 3.9742
1.3052 2.2493 8.3422
2.7818 1.1467 2.0206
3.2420 5.9683 10.2958
0.0000 0.0000 0.0000
```

Summary:
Volume: 397.4 Å³/f.u.

***

The least stable of them is Q.

***

## P
A plane-wave DFT calculation with GGA-PBE was carried out for CuTe2Br2 after structural relaxation.

```
CuTe2Br2
1.0
7.1425 0.0000 0.0000
0.0000 7.1425 0.0000
0.0000 0.0000 5.6564
Cu Te Br
2 4 4
Cartesian
3.5713 3.5713 0.0000
0.0000 0.0000 0.0000
4.7205 1.1492 0.0000
5.9933 4.7205 0.0000
1.1492 2.4221 0.0000
2.4221 5.9933 0.0000
4.8286 1.2573 2.8282
1.2573 2.3140 2.8282
5.8852 4.8286 2.8282
2.3140 5.8852 2.8282
```

Summary:
Volume: 144.3 Å³/f.u.

***

## Q
A plane-wave DFT calculation with GGA-PBE was carried out for CuTe2Br2 after structural relaxation.

```
CuTe2Br2
1.0
-2.3808 4.0620 0.8316
-0.0926 -1.0108 4.6722
4.7105 4.8404 3.5869
Te Br Cu
2 2 1
Cartesian
-0.0707 2.1755 2.9156
2.3077 5.7161 6.1751
1.6906 2.6776 5.5055
0.5465 5.2140 3.5852
0.0000 0.0000 0.0000
```

Summary:
Volume: 156.8 Å³/f.u.

***

The least stable of them is Q.

***

## P
A plane-wave DFT calculation with GGA-PBE was carried out for ThCu2Br8 after structural relaxation.

```
ThCu2Br8
1.0
7.4652 0.0001 0.0001
-3.7326 7.1946 -0.9268
0.0001 0.1357 9.5110
Br Cu Th
8 2 1
Cartesian
1.8684 2.0020 0.8256
0.0000 3.3804 4.2564
5.5968 2.0020 0.8257
0.0001 0.6750 6.6889
-1.8641 5.3284 7.7586
3.7326 6.6554 1.8955
1.8643 5.3284 7.7587
3.7327 3.9500 4.3280
3.7327 5.3745 6.0819
0.0000 1.9559 2.5025
0.0000 0.0000 0.0000
```

Summary:
Volume: 511.8 Å³/f.u.

***

## Q
A plane-wave DFT calculation with GGA-PBE was carried out for ThCu2Br8 after structural relaxation.

```
ThCu2Br8
1.0
6.5067 -1.0470 -0.7314
-0.4835 7.9113 -1.5089
-0.4835 1.3059 7.9473
Br Cu Th
8 2 1
Cartesian
4.9461 3.0224 2.1113
0.5936 5.1477 3.5958
4.5800 2.5793 6.4158
1.9927 1.7400 1.2154
0.9596 1.2586 5.4932
3.5470 6.4301 4.4916
4.5800 6.9115 0.2138
0.9596 5.5908 -0.7088
1.2708 7.0609 4.9322
4.2689 1.1092 0.7748
0.0000 0.0000 0.0000
```

Summary:
Volume: 414.8 Å³/f.u.

***

The least stable of them is P.

***

## P
A plane-wave DFT calculation with GGA-PBE was carried out for TiCuBr2 after structural relaxation.

```
TiCuBr2
1.0
-2.1749 -3.7919 1.9227
-0.5095 -0.3125 4.7380
-4.3231 0.4728 1.9730
Br Ti Cu
2 1 1
Cartesian
-5.2557 -2.7237 6.4753
-1.7519 -0.9079 2.1584
0.0000 0.0000 0.0000
-3.5038 -1.8158 4.3168
```

Summary:
Volume: 77.0 Å³/f.u.

***

## Q
A plane-wave DFT calculation with GGA-PBE was carried out for TiCuBr2 after structural relaxation.

```
TiCuBr2
1.0
6.0719 0.0000 0.0000
0.0000 6.0719 0.0000
3.0359 3.0359 5.5716
Ti Br Cu
2 4 2
Cartesian
3.0359 6.0719 2.7858
3.0359 3.0359 0.0000
7.5899 7.7324 4.1787
4.6964 1.5180 1.3929
1.3755 4.5539 1.3929
4.5539 4.4114 4.1787
6.0719 3.0359 2.7858
0.0000 0.0000 0.0000
```

Summary:
Volume: 102.7 Å³/f.u.

***

The least stable of them is P.

***

## P
A plane-wave DFT calculation with GGA-PBE was carried out for Ti2CuBr after structural relaxation.

```
Ti2CuBr
1.0
-0.5664 3.4485 4.3434
0.0445 -4.3630 3.4699
5.5431 -0.0520 4.3418
Br Cu Ti
2 2 4
Cartesian
2.3578 1.4696 6.2959
0.0000 0.0000 0.0000
-0.2610 -0.4573 3.9066
2.6633 -2.4361 5.8591
1.0582 1.4697 4.0736
3.6990 -0.6783 9.9649
3.9632 -0.5429 6.3143
1.3219 -2.1816 3.9572
```

Summary:
Volume: 90.7 Å³/f.u.

***

## Q
A plane-wave DFT calculation with GGA-PBE was carried out for Ti2CuBr after structural relaxation.

```
Ti2CuBr
1.0
0.0000 3.1839 3.1839
3.1839 0.0000 3.1839
3.1839 3.1839 0.0000
Ti Cu Br
2 1 1
Cartesian
4.7759 4.7759 4.7759
1.5920 1.5920 1.5920
0.0000 0.0000 0.0000
3.1839 3.1839 3.1839
```

Summary:
Volume: 64.6 Å³/f.u.

***

The least stable of them is P.

***

## P
A plane-wave DFT calculation with GGA-PBE was carried out for TiCuBr6 after structural relaxation.

```
TiCuBr6
1.0
-0.0032 2.8921 -5.1312
5.5451 -2.9518 -5.6478
-0.9752 -4.9532 -6.0029
Cu Br Ti
1 6 1
Cartesian
2.2833 -2.5064 -8.3909
3.7731 -5.6295 -11.7677
3.3808 -0.5188 -9.4175
0.7936 0.6166 -5.0142
0.2005 -1.4031 -8.9121
4.3662 -3.6098 -7.8697
1.1859 -4.4941 -7.3644
0.0000 0.0000 0.0000
```

Summary:
Volume: 267.9 Å³/f.u.

***

## Q
A plane-wave DFT calculation with GGA-PBE was carried out for TiCuBr6 after structural relaxation.

```
TiCuBr6
1.0
-5.3336 -4.4129 -1.8674
6.5126 -0.1048 -3.6958
1.4760 -1.8269 6.5372
Br Ti Cu
6 1 1
Cartesian
-1.1964 -3.0545 -2.6649
-3.4052 -4.6270 -0.3792
3.3526 -4.1241 0.2243
2.3755 -1.4632 -2.8983
6.0603 -1.7175 1.3533
-0.6976 -2.2205 0.7497
-2.6668 -2.2065 -0.9337
0.0000 0.0000 0.0000
```

Summary:
Volume: 273.5 Å³/f.u.

***

The least stable of them is P.

***

## P
A plane-wave DFT calculation with GGA-PBE was carried out for TiCu2Br6 after structural relaxation.

```
TiCu2Br6
1.0
-5.4984 0.2365 -2.9445
1.7863 -9.0413 -3.7189
-4.2904 -3.9731 8.0357
Br Ti Cu
12 2 4
Cartesian
-6.7194 -6.2816 4.4038
-2.8235 -7.4666 3.6759
-3.7932 -4.2925 1.8060
-4.2090 -11.8761 1.9612
-4.2093 -8.4855 -0.4336
-7.7102 -3.3106 2.6106
-5.1790 -5.3114 -2.3035
-0.3445 -1.6037 -0.4701
-0.2923 -9.4673 -1.2382
-7.6580 -11.1743 1.8425
-1.2831 -6.4963 -3.0314
-3.7935 -0.9018 -0.5888
-0.1347 -8.5265 -3.3980
-7.8678 -4.2515 4.7704
-6.2032 -7.3191 -0.1436
-3.5198 -7.3825 1.4560
-1.7993 -5.4588 1.5160
-4.4827 -5.3955 -0.0836
```

Summary:
Volume: 308.1 Å³/f.u.

***

## Q
A plane-wave DFT calculation with GGA-PBE was carried out for TiCu2Br6 after structural relaxation.

```
TiCu2Br6
1.0
-1.1298 -3.4031 5.6940
8.8421 -2.2205 1.5266
2.6806 6.7795 5.6830
Br Cu Ti
12 4 2
Cartesian
7.3906 0.7032 6.1112
3.0024 0.4527 6.7924
9.8546 4.3961 7.2956
0.5383 -3.2402 5.6080
7.6910 -2.4761 8.1475
2.7019 3.6320 4.7562
5.3760 -2.8006 5.4183
4.8162 0.3300 3.1030
5.5767 0.8259 9.8007
10.1190 1.4831 9.5832
5.0169 3.9565 7.4854
0.2739 -0.3272 3.3205
6.5417 -0.3255 8.0371
3.8512 1.4814 4.8666
6.2174 2.6750 5.7899
4.1755 -1.5190 7.1137
2.9945 5.0577 6.7042
7.3984 -3.9017 6.1994
```

Summary:
Volume: 279.1 Å³/f.u.

***

The least stable of them is Q.

***

## P
A plane-wave DFT calculation with GGA-PBE was carried out for Tl2CuBr after structural relaxation.

```
Tl2CuBr
1.0
6.5800 0.0000 0.0000
0.0000 6.5800 0.0000
3.2900 3.2900 6.9702
Tl Br Cu
4 2 2
Cartesian
2.1064 4.9350 1.7426
4.4737 1.6450 1.7426
8.2251 7.7637 5.2277
4.9350 5.3964 5.2277
0.0000 0.0000 0.0000
6.5800 3.2900 3.4851
3.2900 6.5800 3.4851
3.2900 3.2900 0.0000
```

Summary:
Volume: 150.9 Å³/f.u.

***

## Q
A plane-wave DFT calculation with GGA-PBE was carried out for Tl2CuBr after structural relaxation.

```
Tl2CuBr
1.0
3.7151 0.1349 0.0000
-0.1156 3.7158 0.0000
0.0000 0.0000 7.6022
Tl Cu Br
2 1 1
Cartesian
0.0000 0.0000 7.3234
0.0000 0.0000 4.0799
1.7998 1.9254 5.7016
1.7998 1.9254 1.9005
```

Summary:
Volume: 105.1 Å³/f.u.

***

The least stable of them is P.

***

## P
A plane-wave DFT calculation with GGA-PBE was carried out for Tl2CuBr after structural relaxation.

```
Tl2CuBr
1.0
-4.8169 -1.6094 -1.5453
1.7669 -3.1958 -2.1795
1.4466 -6.4031 2.1594
Tl Cu Br
2 1 1
Cartesian
2.5918 -8.0010 0.2539
-1.4249 -4.0041 -0.5064
0.1823 -8.8041 -0.5171
1.8678 -4.7974 -0.8259
```

Summary:
Volume: 122.0 Å³/f.u.

***

## Q
A plane-wave DFT calculation with GGA-PBE was carried out for Tl2CuBr after structural relaxation.

```
Tl2CuBr
1.0
-2.8479 4.1377 -2.3079
1.6566 -1.6471 -4.9973
-2.9159 -2.1508 -0.2578
Cu Tl Br
1 2 1
Cartesian
-0.6296 -1.8989 -2.6275
-0.5956 1.2453 -3.6526
0.0000 0.0000 0.0000
-2.8819 0.9934 -1.2828
```

Summary:
Volume: 110.8 Å³/f.u.

***

## R
A plane-wave DFT calculation with GGA-PBE was carried out for Tl2CuBr after structural relaxation.

```
Tl2CuBr
1.0
7.7698 -0.0472 -0.5555
6.8877 3.5959 -0.5555
0.3251 0.0787 4.1949
Tl Br Cu
2 1 1
Cartesian
11.1671 2.7037 1.8092
13.7975 3.3405 -0.5295
8.1878 1.9824 1.9916
3.9791 0.9634 0.2436
```

Summary:
Volume: 119.3 Å³/f.u.

***

The least stable of them is Q.